The following is a PBE-GGA calculation of crystalline Pm9Er4Tm11 at its relaxed geometry, from the Alexandria database.

- uncorrected energy (eV/atom) = -4.543
- space group = Cmmm (65)
- DOS(E_F) (states/eV/cell) = 31.4
- formation energy from the elements (eV/atom) = 0.048

abc: 3.685 15.081 15.081
angles: 113.17 90.00 90.00
Sites, in units of the cell vectors:
Pm  0.500  0.500  0.500
Tm  0.000  0.594  0.954
Pm  0.500  0.786  0.934
Tm  0.000  0.367  0.633
Tm  0.000  0.161  0.839
Pm  0.500  0.370  0.838
Tm  0.000  0.406  0.046
Pm  0.500  0.214  0.066
Er  0.500  0.245  0.446
Tm  0.000  0.633  0.367
Tm  0.000  0.954  0.594
Tm  0.000  0.046  0.406
Tm  0.000  0.000  0.000
Pm  0.500  0.630  0.162
Pm  0.500  0.162  0.630
Tm  0.000  0.839  0.161
Er  0.500  0.446  0.245
Er  0.500  0.755  0.554
Er  0.500  0.554  0.755
Pm  0.500  0.934  0.786
Pm  0.500  0.066  0.214
Tm  0.000  0.290  0.290
Tm  0.000  0.710  0.710
Pm  0.500  0.838  0.370